KOsNO3 PBE-GGA relaxed; density of states at the Fermi level = 0.00 states/eV per cell; formation energy from raw total energies = -92 kJ/mol of atoms
1.0
5.817 0.000 0.000
-0.002 5.822 0.000
-2.839 -2.907 6.634
K Os N O
2 2 2 6
direct
0.000 0.000 0.000 K
0.238 0.748 0.499 K
0.489 0.508 0.004 Os
0.738 0.245 0.505 Os
0.518 0.222 0.850 N
0.878 0.271 0.354 N
0.307 0.658 0.853 O
0.337 0.460 0.150 O
0.442 0.057 0.351 O
0.707 0.550 0.651 O
0.793 0.682 0.154 O
0.931 0.100 0.656 O